# 1
VASP calculation (GGA-PBE) on a geometry-optimized K2Ga3SnPt4 structure.

Geometry as CIF:
```
data_K2Ga3SnPt4
_chemical_formula_sum 'K2 Ga3 Sn1 Pt4'
_space_group_name_H-M_alt 'P -4 m 2'
_space_group_IT_number 115
_space_group_name_Hall 'P -4 -2'
_cell_length_a 4.4390
_cell_length_b 4.4390
_cell_length_c 10.7731
_cell_angle_alpha 90.00
_cell_angle_beta 90.00
_cell_angle_gamma 90.00
loop_
_atom_site_label
_atom_site_fract_x
_atom_site_fract_y
_atom_site_fract_z
K1 0.0000 0.5000 0.2404
Ga1 0.0000 0.5000 0.8773
Ga2 0.5000 0.5000 0.5000
Sn1 0.0000 0.0000 0.5000
Pt1 0.0000 0.0000 0.0000
Pt2 0.0000 0.5000 0.6367
Pt3 0.5000 0.5000 0.0000
```

Calculated values
Final energy ... -4.44 eV/atom
Formation energy ... -48 kJ per mole of atoms
ρ ... 9.3 g/cm³

# 2
VASP calculation (GGA-PBE) on a geometry-optimized CoGePt structure.

Geometry as CIF:
```
data_CoGePt
_chemical_formula_sum 'Co6 Ge6 Pt6'
_space_group_name_H-M_alt 'R -3 m'
_space_group_IT_number 166
_space_group_name_Hall '-R 3 2"'
_cell_length_a 4.0225
_cell_length_b 4.0225
_cell_length_c 18.2760
_cell_angle_alpha 90.00
_cell_angle_beta 90.00
_cell_angle_gamma 120.00
loop_
_atom_site_label
_atom_site_fract_x
_atom_site_fract_y
_atom_site_fract_z
Co1 0.0000 0.0000 0.1310
Ge1 0.0000 0.0000 0.0000
Ge2 0.0000 0.0000 0.5000
Pt1 0.0000 0.0000 0.2785
```

Calculated values
Final energy ... -6.16 eV/atom
Formation energy ... -23 kJ per mole of atoms
ρ ... 12.7 g/cm³

# 3
VASP calculation (GGA-PBE) on a geometry-optimized NaSm2ScSe4 structure.

Geometry as CIF:
```
data_NaSm2ScSe4
_chemical_formula_sum 'Na1 Sm2 Sc1 Se4'
_space_group_name_H-M_alt 'P 1 2/m 1'
_space_group_IT_number 10
_space_group_name_Hall '-P 2y'
_cell_length_a 7.0480
_cell_length_b 4.0828
_cell_length_c 7.1497
_cell_angle_alpha 90.00
_cell_angle_beta 109.16
_cell_angle_gamma 90.00
loop_
_atom_site_label
_atom_site_fract_x
_atom_site_fract_y
_atom_site_fract_z
Na1 0.0000 0.0000 0.0000
Sm1 0.5000 0.0000 0.5000
Sm2 0.5000 0.5000 0.0000
Sc1 0.0000 0.5000 0.5000
Se1 0.2326 0.0000 0.7382
Se2 0.2404 0.5000 0.2552
```

Calculated values
Final energy ... -5.56 eV/atom
ρ ... 5.8 g/cm³
Formation energy (no corrections) ... -13.441 eV per formula unit

# 4
VASP calculation (GGA-PBE) on a geometry-optimized Te2PtI structure.

Geometry as CIF:
```
data_Te2PtI
_chemical_formula_sum 'Te2 Pt1 I1'
_space_group_name_H-M_alt 'P -1'
_space_group_IT_number 2
_space_group_name_Hall '-P 1'
_cell_length_a 4.0913
_cell_length_b 5.2203
_cell_length_c 5.9283
_cell_angle_alpha 109.02
_cell_angle_beta 90.27
_cell_angle_gamma 90.06
loop_
_atom_site_label
_atom_site_fract_x
_atom_site_fract_y
_atom_site_fract_z
Te1 0.0016 0.3445 0.1567
Pt1 0.5000 0.0000 0.0000
I1 0.5000 0.0000 0.5000
```

Calculated values
Final energy ... -3.71 eV/atom
ρ ... 8.0 g/cm³
Formation energy (no corrections) ... -0.976 eV per formula unit

# 5
VASP calculation (GGA-PBE) on a geometry-optimized MnRh2W structure.

Geometry as CIF:
```
data_MnRh2W
_chemical_formula_sum 'Mn3 Rh6 W3'
_space_group_name_H-M_alt 'R -3 m'
_space_group_IT_number 166
_space_group_name_Hall '-R 3 2"'
_cell_length_a 2.7985
_cell_length_b 2.7985
_cell_length_c 26.0508
_cell_angle_alpha 90.00
_cell_angle_beta 90.00
_cell_angle_gamma 120.00
loop_
_atom_site_label
_atom_site_fract_x
_atom_site_fract_y
_atom_site_fract_z
Mn1 0.0000 0.0000 0.0000
Rh1 0.0000 0.0000 0.2507
W1 0.0000 0.0000 0.5000
```

Calculated values
Final energy ... -9.23 eV/atom
ΔE to the lowest computed polymorph ... 145.8 meV per atom
Formation energy ... -2 kJ per mole of atoms
ρ ... 12.5 g/cm³

# 6
VASP calculation (GGA-PBE) on a geometry-optimized Y2SnIrC structure.

Geometry as CIF:
```
data_Y2SnIrC
_chemical_formula_sum 'Y2 Sn1 Ir1 C1'
_space_group_name_H-M_alt 'P 4/m m m'
_space_group_IT_number 123
_space_group_name_Hall '-P 4 2'
_cell_length_a 5.0598
_cell_length_b 5.0598
_cell_length_c 3.9708
_cell_angle_alpha 90.00
_cell_angle_beta 90.00
_cell_angle_gamma 90.00
loop_
_atom_site_label
_atom_site_fract_x
_atom_site_fract_y
_atom_site_fract_z
Y1 0.0000 0.5000 0.0000
Sn1 0.0000 0.0000 0.5000
Ir1 0.5000 0.5000 0.5000
C1 0.5000 0.5000 0.0000
```

Calculated values
Final energy ... -7.55 eV/atom
Formation energy ... -52 kJ per mole of atoms
ρ ... 8.2 g/cm³

# 7
VASP calculation (GGA-PBE) on a geometry-optimized HfTcGe structure.

Geometry as CIF:
```
data_HfTcGe
_chemical_formula_sum 'Hf4 Tc4 Ge4'
_space_group_name_H-M_alt 'C 1 2/m 1'
_space_group_IT_number 12
_space_group_name_Hall '-C 2y'
_cell_length_a 10.3835
_cell_length_b 3.3396
_cell_length_c 7.0439
_cell_angle_alpha 90.00
_cell_angle_beta 123.32
_cell_angle_gamma 90.00
loop_
_atom_site_label
_atom_site_fract_x
_atom_site_fract_y
_atom_site_fract_z
Hf1 0.0690 0.0000 0.2979
Tc1 0.1606 0.5000 0.0549
Ge1 0.1467 0.5000 0.6715
```

Calculated values
Final energy ... -8.79 eV/atom
ΔE to the lowest computed polymorph ... 217.2 meV per atom
Formation energy ... -47 kJ per mole of atoms
ρ ... 11.4 g/cm³

# 8
VASP calculation (GGA-PBE) on a geometry-optimized PmPr2Sm8 structure.

Geometry as CIF:
```
data_PmPr2Sm8
_chemical_formula_sum 'Pm2 Pr4 Sm16'
_space_group_name_H-M_alt 'C 1 2/m 1'
_space_group_IT_number 12
_space_group_name_Hall '-C 2y'
_cell_length_a 17.3686
_cell_length_b 6.7409
_cell_length_c 6.7217
_cell_angle_alpha 90.00
_cell_angle_beta 103.80
_cell_angle_gamma 90.00
loop_
_atom_site_label
_atom_site_fract_x
_atom_site_fract_y
_atom_site_fract_z
Pm1 0.0000 0.0000 0.0000
Pr1 0.2016 0.0000 0.3539
Sm1 0.0725 0.5000 0.1948
Sm2 0.0952 0.2609 0.6774
Sm3 0.2483 0.5000 0.0928
```

Calculated values
Final energy ... -4.57 eV/atom
ΔE to the lowest computed polymorph ... 146.5 meV per atom
Formation energy ... 16 kJ per mole of atoms
ρ ... 7.1 g/cm³